(1)
Material: ScTiAs2
Method: DFT, PBE
State: optimized geometry

a b c (Å): 3.7119 3.7119 6.7880
angles (deg): 74.13 74.13 60.00
Last column: magnetic moment on the atom in μB.
Atoms (fractional coordinates):
As 0.0862 0.0862 0.7413  -0.01
As 0.2461 0.2461 0.2617  -0.01
Sc 0.6700 0.6700 0.9899  0.03
Ti 0.4976 0.4976 0.5071  0.38

The calculation puts the energy of formation at -1.046 eV per atom. Its space group is R3m. Its density is 5.24 g/cm3. As for the total magnetization: 0.518 μB per cell. For the calculated volume, the calculation gives 19.21 Å³/atom. The value obtained for the relative energy among the computed polymorphs is 0.057 eV/atom.

(2)
Material: CaTeMo2
Method: DFT, PBE
State: optimized geometry

a b c (Å): 3.3529 3.3529 7.8626
angles (deg): 90.00 90.00 90.00
Atoms (fractional coordinates):
Mo 0.5000 0.5000 0.2175
Mo 0.0000 0.0000 0.0609
Te 0.0000 0.0000 0.4453
Ca 0.5000 0.5000 0.7762

The uncorrected formation energy is 0.1590 eV per atom. Its space group is P4mm. Its density is 6.75 g/cm3. As for the total magnetization: 0.000 μB per cell. For the calculated volume, the calculation gives 22.10 Å³/atom.

(3)
Material: Tl2InAu
Method: DFT, PBE
State: optimized geometry

a b c (Å): 4.2276 4.0077 6.8148
angles (deg): 72.43 90.00 90.00
Atoms (fractional coordinates):
Tl 0.0000 0.9497 0.9778
Tl 0.5000 0.2832 0.3081
Au 0.0000 0.7016 0.4616
In 0.5000 0.5655 0.7525

The calculation puts the energy of formation at -0.022 eV per atom. Its space group is Pm. Its density is 10.87 g/cm3. As for the total magnetization: 0.000 μB per cell. For the calculated volume, the calculation gives 27.52 Å³/atom. The value obtained for the relative energy among the computed polymorphs is 0.025 eV/atom.